# 1
Computed, not measured: a relaxed structure of CrSbW2 at the PBE-GGA level of DFT.

## Properties
**Energy**: -9.491 eV per atom
**Formation energy from raw total energies**: 41 kJ per mole of atoms
**DOS(E_F)**: 4.8 states/eV/cell
**Density**: 13.92 g/cm3

```
data_CrSbW2
_cell_length_a 3.211
_cell_length_b 3.211
_cell_length_c 6.266
_cell_angle_alpha 90.00
_cell_angle_beta 90.00
_cell_angle_gamma 90.00
_space_group_name_H-M_alt 'P 4 m m'
_space_group_IT_number 99
loop_
_space_group_symop_operation_xyz
'x,y,z'
'-y,x,z'
'-x,-y,z'
'y,-x,z'
'-x,y,z'
'y,x,z'
'x,-y,z'
'-y,-x,z'
loop_
_atom_site_label
_atom_site_fract_x
_atom_site_fract_y
_atom_site_fract_z
Cr1 0.000 0.000 0.000
Sb1 0.500 0.500 0.257
W1 0.000 0.000 0.526
W2 0.500 0.500 0.789
```

***

# 2
Computed, not measured: a relaxed structure of Cr2SbW at the PBE-GGA level of DFT.

## Properties
**Energy**: -8.552 eV per atom
**Formation energy from raw total energies**: 51 kJ per mole of atoms
**DOS(E_F)**: 9.8 states/eV/cell
**Density**: 10.25 g/cm3

```
data_Cr2SbW
_cell_length_a 3.0648
_cell_length_b 3.0648
_cell_length_c 24.4631
_cell_angle_alpha 90.00
_cell_angle_beta 90.00
_cell_angle_gamma 120.00
_space_group_name_H-M_alt 'R -3 m'
_space_group_IT_number 166
_space_group_name_Hall '-R 3 2"'
loop_
_atom_site_label
_atom_site_fract_x
_atom_site_fract_y
_atom_site_fract_z
Cr1 0.0000 0.0000 0.2433
Sb1 0.0000 0.0000 0.0000
W1 0.0000 0.0000 0.5000
```

***

# 3
Computed, not measured: a relaxed structure of Cr2SbW at the PBE-GGA level of DFT.

## Properties
**Energy**: -8.617 eV per atom
**Formation energy from raw total energies**: 45 kJ per mole of atoms
**DOS(E_F)**: 8.6 states/eV/cell
**Density**: 11.28 g/cm3

```
data_Cr2SbW
_cell_length_a 3.351
_cell_length_b 4.395
_cell_length_c 8.186
_cell_angle_alpha 90.00
_cell_angle_beta 90.00
_cell_angle_gamma 90.00
_space_group_name_H-M_alt 'I m m m'
_space_group_IT_number 71
_space_group_name_Hall '-I 2 2'
loop_
_atom_site_label
_atom_site_fract_x
_atom_site_fract_y
_atom_site_fract_z
Cr1 0.000 0.000 0.244
Sb1 0.000 0.500 0.000
W1 0.000 0.500 0.500
```

***

# 4
Computed, not measured: a relaxed structure of CrSbW2 at the PBE-GGA level of DFT.

## Properties
**Energy**: -9.461 eV per atom
**Formation energy from raw total energies**: 44 kJ per mole of atoms
**DOS(E_F)**: 4.2 states/eV/cell
**Density**: 13.75 g/cm3

```
data_CrSbW2
_cell_length_a 3.856
_cell_length_b 3.856
_cell_length_c 8.796
_cell_angle_alpha 90.00
_cell_angle_beta 90.00
_cell_angle_gamma 90.00
_space_group_name_H-M_alt 'I 4/m m m'
_space_group_IT_number 139
_space_group_name_Hall '-I 4 2'
loop_
_atom_site_label
_atom_site_fract_x
_atom_site_fract_y
_atom_site_fract_z
Cr1 0.000 0.000 0.000
Sb1 0.000 0.000 0.500
W1 0.000 0.500 0.250
```

***

# 5
Computed, not measured: a relaxed structure of CrSb3W at the PBE-GGA level of DFT.

## Properties
**Polymorph energy (0 for the lowest one)**: 303 meV per atom
**Energy**: -5.704 eV per atom
**Formation energy from raw total energies**: 124 kJ per mole of atoms
**DOS(E_F)**: 2.9 states/eV/cell
**Density**: 7.94 g/cm3

```
data_CrSb3W
_cell_length_a 5.010
_cell_length_b 5.010
_cell_length_c 5.010
_cell_angle_alpha 90.00
_cell_angle_beta 90.00
_cell_angle_gamma 90.00
_space_group_name_H-M_alt 'P m -3 m'
_space_group_IT_number 221
_space_group_name_Hall '-P 4 2 3'
loop_
_atom_site_label
_atom_site_fract_x
_atom_site_fract_y
_atom_site_fract_z
Cr1 0.000 0.000 0.000
Sb1 0.000 0.000 0.500
W1 0.500 0.500 0.500
```

***

# 6
Computed, not measured: a relaxed structure of CrSbW at the PBE-GGA level of DFT.

## Properties
**Polymorph energy (0 for the lowest one)**: 0 meV per atom
**Energy**: -8.523 eV per atom
**Formation energy from raw total energies**: 36 kJ per mole of atoms
**DOS(E_F)**: 8.6 states/eV/cell
**Density**: 10.87 g/cm3

```
data_CrSbW
_cell_length_a 6.022
_cell_length_b 6.022
_cell_length_c 6.022
_cell_angle_alpha 90.00
_cell_angle_beta 90.00
_cell_angle_gamma 90.00
_space_group_name_H-M_alt 'F -4 3 m'
_space_group_IT_number 216
_space_group_name_Hall 'F -4 2 3'
loop_
_atom_site_label
_atom_site_fract_x
_atom_site_fract_y
_atom_site_fract_z
Cr1 0.000 0.000 0.000
Sb1 0.250 0.250 0.250
W1 0.250 0.250 0.750
```

***

- Which value of energy does entry 4 give?
  -9.461 eV per atom

***

- Which of these has the highest energy?
  CrSb3W

***

- The highest energy belongs to which entry?
  CrSb3W